Entry 1
Entry from Alexandria via LeMat-Bulk: an optimized crystal structure of Ba2SeCl (GGA-PBE).

- Fermi-level density of states (states/eV per atom) = 0.60
- theoretical density (g/cm³) = 4.4

a = 8.3737 Å, b = 8.3737 Å, c = 8.3737 Å
α = 150.15°, β = 149.94°, γ = 42.88°
Positions (direct):
Ba 0.0000 0.0000 0.0000
Ba 0.7660 0.2660 0.5000
Se 0.4199 0.4199 0.0000
Cl 0.1660 0.6660 0.5000


Entry 2
Entry from Alexandria via LeMat-Bulk: an optimized crystal structure of Ba2SeCl (GGA-PBE).

- Fermi-level density of states (states/eV per atom) = 0.89
- theoretical density (g/cm³) = 3.3

a = 8.9751 Å, b = 8.9751 Å, c = 8.9751 Å
α = 132.18°, β = 132.18°, γ = 69.94°
Positions (direct):
Ba 0.1198 0.6250 0.9948
Ba 0.3750 0.3698 0.4948
Ba 0.6302 0.1250 0.0052
Ba 0.8750 0.8802 0.5052
Se 0.0000 0.0000 0.0000
Se 0.7500 0.2500 0.5000
Cl 0.2500 0.7500 0.5000
Cl 0.5000 0.5000 0.0000


Most stable of them? entry 1.


Entry 1
Entry from Alexandria via LeMat-Bulk: an optimized crystal structure of Ba2SeCl2 (GGA-PBE).

- Fermi-level density of states (states/eV per atom) = 0.00
- theoretical density (g/cm³) = 4.2

a = 8.6650 Å, b = 8.6650 Å, c = 4.4397 Å
α = 90.00°, β = 90.00°, γ = 90.00°
Positions (direct):
Ba 0.1788 0.3212 0.0000
Ba 0.3212 0.8212 0.0000
Ba 0.6788 0.1788 0.0000
Ba 0.8212 0.6788 0.0000
Se 0.0000 0.0000 0.0000
Se 0.5000 0.5000 0.0000
Cl 0.1317 0.6317 0.5000
Cl 0.3683 0.1317 0.5000
Cl 0.6317 0.8683 0.5000
Cl 0.8683 0.3683 0.5000


Entry 2
Entry from Alexandria via LeMat-Bulk: an optimized crystal structure of Ba2SeCl2 (GGA-PBE).

- Fermi-level density of states (states/eV per atom) = 0.00
- theoretical density (g/cm³) = 4.0

a = 4.9678 Å, b = 4.9678 Å, c = 8.2555 Å
α = 90.00°, β = 90.00°, γ = 120.00°
Positions (direct):
Ba 0.3333 0.6667 0.2755
Ba 0.6667 0.3333 0.7245
Se 0.0000 0.0000 0.5000
Cl 0.3333 0.6667 0.8709
Cl 0.6667 0.3333 0.1291


Most stable of them? entry 2.


Entry 1
Entry from Alexandria via LeMat-Bulk: an optimized crystal structure of BaSiCl2 (GGA-PBE).

- Fermi-level density of states (states/eV per atom) = 0.30
- theoretical density (g/cm³) = 3.0

a = 10.2522 Å, b = 10.2522 Å, c = 10.2522 Å
α = 150.48°, β = 150.48°, γ = 42.23°
Positions (direct):
Ba 0.0000 0.0000 0.0000
Ba 0.7500 0.2500 0.5000
Si 0.2500 0.7500 0.5000
Si 0.5000 0.5000 0.0000
Cl 0.1523 0.6250 0.0273
Cl 0.3750 0.4023 0.5273
Cl 0.5977 0.1250 0.9727
Cl 0.8750 0.8477 0.4727


Entry 2
Entry from Alexandria via LeMat-Bulk: an optimized crystal structure of BaSiCl2 (GGA-PBE).

- Fermi-level density of states (states/eV per atom) = 0.36
- theoretical density (g/cm³) = 3.3

a = 6.8472 Å, b = 6.8472 Å, c = 4.4811 Å
α = 103.77°, β = 103.77°, γ = 36.34°
Positions (direct):
Ba 0.0000 0.0000 0.0000
Si 0.7266 0.7266 0.9682
Cl 0.1854 0.1854 0.6587
Cl 0.4398 0.4398 0.4504


Entry 3
Entry from Alexandria via LeMat-Bulk: an optimized crystal structure of BaSiCl2 (GGA-PBE).

- Fermi-level density of states (states/eV per atom) = 0.15
- theoretical density (g/cm³) = 2.7

a = 4.9298 Å, b = 4.9298 Å, c = 5.9668 Å
α = 90.00°, β = 90.00°, γ = 90.00°
Positions (direct):
Ba 0.0000 0.0000 0.0000
Si 0.5000 0.5000 0.8541
Cl 0.0000 0.0000 0.5018
Cl 0.5000 0.5000 0.2270


Entry 4
Entry from Alexandria via LeMat-Bulk: an optimized crystal structure of BaSiCl2 (GGA-PBE).

- Fermi-level density of states (states/eV per atom) = 0.05
- theoretical density (g/cm³) = 2.8

a = 4.8714 Å, b = 5.7742 Å, c = 5.4372 Å
α = 90.00°, β = 111.78°, γ = 90.00°
Positions (direct):
Ba 0.0000 0.0000 0.0000
Si 0.6037 0.5000 0.1352
Cl 0.3123 0.0000 0.6082
Cl 0.7454 0.5000 0.7827


Most stable of them? entry 2.


Entry 1
Entry from Alexandria via LeMat-Bulk: an optimized crystal structure of BaSi3Cl (GGA-PBE).

- Fermi-level density of states (states/eV per atom) = 0.80
- theoretical density (g/cm³) = 3.3

a = 5.0372 Å, b = 5.0372 Å, c = 5.0372 Å
α = 90.00°, β = 90.00°, γ = 90.00°
Positions (direct):
Ba 0.0000 0.0000 0.0000
Si 0.0000 0.5000 0.5000
Si 0.5000 0.0000 0.5000
Si 0.5000 0.5000 0.0000
Cl 0.5000 0.5000 0.5000


Entry 2
Entry from Alexandria via LeMat-Bulk: an optimized crystal structure of BaSi3Cl (GGA-PBE).

- Fermi-level density of states (states/eV per atom) = 1.81
- theoretical density (g/cm³) = 2.0

a = 5.9528 Å, b = 5.9528 Å, c = 5.9528 Å
α = 90.00°, β = 90.00°, γ = 90.00°
Positions (direct):
Ba 0.0000 0.0000 0.0000
Si 0.0000 0.0000 0.5000
Si 0.0000 0.5000 0.0000
Si 0.5000 0.0000 0.0000
Cl 0.5000 0.5000 0.5000


Most stable of them? entry 1.


Entry 1
Entry from Alexandria via LeMat-Bulk: an optimized crystal structure of BaSn3Cl (GGA-PBE).

- Fermi-level density of states (states/eV per atom) = 0.95
- theoretical density (g/cm³) = 5.1

a = 5.5492 Å, b = 5.5492 Å, c = 5.5492 Å
α = 90.00°, β = 90.00°, γ = 90.00°
Positions (direct):
Ba 0.0000 0.0000 0.0000
Sn 0.0000 0.5000 0.5000
Sn 0.5000 0.0000 0.5000
Sn 0.5000 0.5000 0.0000
Cl 0.5000 0.5000 0.5000


Entry 2
Entry from Alexandria via LeMat-Bulk: an optimized crystal structure of BaSn3Cl (GGA-PBE).

- Fermi-level density of states (states/eV per atom) = 1.55
- theoretical density (g/cm³) = 3.3

a = 6.4078 Å, b = 6.4078 Å, c = 6.4078 Å
α = 90.00°, β = 90.00°, γ = 90.00°
Positions (direct):
Ba 0.0000 0.0000 0.0000
Sn 0.0000 0.0000 0.5000
Sn 0.0000 0.5000 0.0000
Sn 0.5000 0.0000 0.0000
Cl 0.5000 0.5000 0.5000


Most stable of them? entry 1.


Entry 1
Entry from Alexandria via LeMat-Bulk: an optimized crystal structure of BaSnCl3 (GGA-PBE).

- Fermi-level density of states (states/eV per atom) = 0.92
- theoretical density (g/cm³) = 3.4

a = 5.6124 Å, b = 5.6124 Å, c = 5.6124 Å
α = 90.00°, β = 90.00°, γ = 90.00°
Positions (direct):
Ba 0.0000 0.0000 0.0000
Sn 0.5000 0.5000 0.5000
Cl 0.0000 0.5000 0.5000
Cl 0.5000 0.0000 0.5000
Cl 0.5000 0.5000 0.0000


Entry 2
Entry from Alexandria via LeMat-Bulk: an optimized crystal structure of BaSnCl3 (GGA-PBE).

- Fermi-level density of states (states/eV per atom) = 1.02
- theoretical density (g/cm³) = 2.8

a = 5.9600 Å, b = 5.9600 Å, c = 5.9600 Å
α = 90.00°, β = 90.00°, γ = 90.00°
Positions (direct):
Ba 0.0000 0.0000 0.0000
Sn 0.5000 0.5000 0.5000
Cl 0.0000 0.0000 0.5000
Cl 0.0000 0.5000 0.0000
Cl 0.5000 0.0000 0.0000


Most stable of them? entry 2.


Entry 1
Entry from Alexandria via LeMat-Bulk: an optimized crystal structure of Ba2SrCl (GGA-PBE).

- Fermi-level density of states (states/eV per atom) = 1.05
- theoretical density (g/cm³) = 3.1

a = 6.7011 Å, b = 6.7011 Å, c = 6.7011 Å
α = 60.00°, β = 60.00°, γ = 60.00°
Positions (direct):
Ba 0.2500 0.2500 0.2500
Ba 0.7500 0.7500 0.7500
Sr 0.0000 0.0000 0.0000
Cl 0.5000 0.5000 0.5000


Entry 2
Entry from Alexandria via LeMat-Bulk: an optimized crystal structure of Ba2SrCl (GGA-PBE).

- Fermi-level density of states (states/eV per atom) = 0.92
- theoretical density (g/cm³) = 3.2

a = 4.4724 Å, b = 6.2713 Å, c = 7.4359 Å
α = 90.00°, β = 90.00°, γ = 90.00°
Positions (direct):
Ba 0.0000 0.0000 0.0000
Ba 0.5000 0.0000 0.5000
Sr 0.0000 0.5000 0.5000
Cl 0.5000 0.5000 0.0000


Most stable of them? entry 2.


Entry 1
Entry from Alexandria via LeMat-Bulk: an optimized crystal structure of Ba2SrCl (GGA-PBE).

- Fermi-level density of states (states/eV per atom) = 1.28
- theoretical density (g/cm³) = 3.2

a = 8.4867 Å, b = 8.4867 Å, c = 8.4867 Å
α = 144.17°, β = 144.17°, γ = 51.57°
Positions (direct):
Ba 0.0000 0.0000 0.0000
Ba 0.7500 0.2500 0.5000
Sr 0.5000 0.5000 0.0000
Cl 0.2500 0.7500 0.5000


Entry 2
Entry from Alexandria via LeMat-Bulk: an optimized crystal structure of Ba2SrCl (GGA-PBE).

- Fermi-level density of states (states/eV per atom) = 1.33
- theoretical density (g/cm³) = 3.1

a = 4.2317 Å, b = 4.3961 Å, c = 11.4867 Å
α = 90.00°, β = 90.00°, γ = 90.00°
Positions (direct):
Ba 0.0000 0.0000 0.2121
Ba 0.0000 0.0000 0.7879
Sr 0.5000 0.5000 0.5000
Cl 0.5000 0.0000 0.0000


Most stable of them? entry 2.